VASP calculation (GGA-PBE) on a relaxed CsLaAs2Se crystal.

Values from the calculation:
Fermi-level density of states (states/eV per cell): 5.91
Total magnetic moment (μB/cell): 0.00
ΔE to the lowest computed polymorph (meV/atom): 1009
E_form (uncorrected) (eV per formula unit): 3.2

```
data_CsLaAs2Se
_cell_length_a 5.6164
_cell_length_b 5.6164
_cell_length_c 5.4257
_cell_angle_alpha 90.00
_cell_angle_beta 90.00
_cell_angle_gamma 90.00
_space_group_name_H-M_alt 'P 4/m m m'
_space_group_IT_number 123
_space_group_name_Hall '-P 4 2'
loop_
_atom_site_label
_atom_site_type_symbol
_atom_site_fract_x
_atom_site_fract_y
_atom_site_fract_z
Cs1 Cs 0.0000 0.0000 0.0000
La1 La 0.5000 0.5000 0.5000
As1 As 0.0000 0.5000 0.0000
Se1 Se 0.0000 0.0000 0.5000
```

VASP calculation (GGA-PBE) on a relaxed CsLaAs2Se crystal.

Values from the calculation:
Fermi-level density of states (states/eV per cell): 5.10
Total magnetic moment (μB/cell): 1.76
ΔE to the lowest computed polymorph (meV/atom): 0
E_form (uncorrected) (eV per formula unit): -1.8

```
data_CsLaAs2Se
_cell_length_a 5.8886
_cell_length_b 5.8886
_cell_length_c 5.8546
_cell_angle_alpha 90.00
_cell_angle_beta 90.00
_cell_angle_gamma 90.00
_space_group_name_H-M_alt 'P 4/m m m'
_space_group_IT_number 123
_space_group_name_Hall '-P 4 2'
loop_
_atom_site_label
_atom_site_type_symbol
_atom_site_fract_x
_atom_site_fract_y
_atom_site_fract_z
Cs1 Cs 0.0000 0.0000 0.0000
La1 La 0.5000 0.5000 0.5000
As1 As 0.0000 0.5000 0.5000
Se1 Se 0.5000 0.5000 0.0000
```

| no. | calculated total energy (eV per atom) |
| --- | --- |
| 1 | -3.07 |
| 2 | -4.08 |